1.
A relaxed BaErGaO4 crystal. Source: Alexandria, functional PBE.

```
data_BaErGaO4
_cell_length_a 5.737
_cell_length_b 5.838
_cell_length_c 7.236
_cell_angle_alpha 90.00
_cell_angle_beta 108.45
_cell_angle_gamma 90.00
_symmetry_space_group_name_H-M 'P 1'
_symmetry_Int_Tables_number 1
_symmetry_space_group_name_Hall 'P 1'
loop_
_atom_site_label
_atom_site_type_symbol
_atom_site_fract_x
_atom_site_fract_y
_atom_site_fract_z
_atom_site_occupancy
O1 O 0.973 0.014 0.695 1
O2 O 0.510 0.250 0.422 1
O3 O 0.027 0.514 0.305 1
O4 O 0.027 0.986 0.305 1
O5 O 0.490 0.750 0.578 1
O6 O 0.973 0.486 0.695 1
O7 O 0.540 0.250 0.825 1
O8 O 0.460 0.750 0.175 1
Er1 Er 0.191 0.250 0.537 1
Er2 Er 0.809 0.750 0.463 1
Ba1 Ba 0.715 0.750 0.935 1
Ba2 Ba 0.285 0.250 0.065 1
Ga1 Ga 0.263 0.750 0.335 1
Ga2 Ga 0.737 0.250 0.665 1
```

Output
ρ in g cm⁻³: 6.33
Uncorrected energy in eV/atom: -6.878

***

2.
A relaxed Ba3ErGa2O8 crystal. Source: Alexandria, functional PBE.

```
data_Ba3ErGa2O8
_cell_length_a 5.992
_cell_length_b 5.992
_cell_length_c 7.632
_cell_angle_alpha 90.00
_cell_angle_beta 90.00
_cell_angle_gamma 120.00
_symmetry_space_group_name_H-M 'P 1'
_symmetry_Int_Tables_number 1
_symmetry_space_group_name_Hall 'P 1'
loop_
_atom_site_label
_atom_site_type_symbol
_atom_site_fract_x
_atom_site_fract_y
_atom_site_fract_z
_atom_site_occupancy
Ba1 Ba 0.667 0.333 0.345 1
Ba2 Ba 0.333 0.667 0.655 1
Ba3 Ba 0.000 0.000 0.000 1
O1 O 0.831 0.663 0.679 1
O2 O 0.337 0.169 0.679 1
O3 O 0.333 0.667 0.983 1
O4 O 0.831 0.169 0.679 1
O5 O 0.169 0.831 0.321 1
O6 O 0.169 0.337 0.321 1
O7 O 0.663 0.831 0.321 1
O8 O 0.667 0.333 0.017 1
Er1 Er 0.000 0.000 0.500 1
Ga1 Ga 0.667 0.333 0.779 1
Ga2 Ga 0.333 0.667 0.221 1
```

Output
ρ in g cm⁻³: 5.92
Uncorrected energy in eV/atom: -6.459

***

3.
A relaxed BaEr4Ga3O12 crystal. Source: Alexandria, functional PBE.

```
data_BaEr4Ga3O12
_cell_length_a 7.072
_cell_length_b 7.072
_cell_length_c 7.072
_cell_angle_alpha 109.47
_cell_angle_beta 109.47
_cell_angle_gamma 109.47
_symmetry_space_group_name_H-M 'P 1'
_symmetry_Int_Tables_number 1
_symmetry_space_group_name_Hall 'P 1'
loop_
_atom_site_label
_atom_site_type_symbol
_atom_site_fract_x
_atom_site_fract_y
_atom_site_fract_z
_atom_site_occupancy
Ga1 Ga 0.500 0.000 0.500 1
Ga2 Ga 0.000 0.500 0.500 1
Ga3 Ga 0.500 0.500 0.000 1
O1 O 0.165 0.325 0.840 1
O2 O 0.835 0.675 0.160 1
O3 O 0.325 0.840 0.165 1
O4 O 0.160 0.835 0.675 1
O5 O 0.675 0.160 0.835 1
O6 O 0.840 0.165 0.325 1
O7 O 0.515 0.675 0.840 1
O8 O 0.325 0.160 0.485 1
O9 O 0.485 0.325 0.160 1
O10 O 0.160 0.485 0.325 1
O11 O 0.675 0.840 0.515 1
O12 O 0.840 0.515 0.675 1
Er1 Er 0.500 0.500 0.500 1
Er2 Er 0.000 0.000 0.500 1
Er3 Er 0.500 0.000 0.000 1
Er4 Er 0.000 0.500 0.000 1
Ba1 Ba 0.000 0.000 0.000 1
```

Output
ρ in g cm⁻³: 7.36
Uncorrected energy in eV/atom: -7.049

***

4.
A relaxed BaErGa2Pd2 crystal. Source: Alexandria, functional PBE.

```
data_BaErGa2Pd2
_cell_length_a 4.551
_cell_length_b 4.551
_cell_length_c 7.903
_cell_angle_alpha 90.00
_cell_angle_beta 90.00
_cell_angle_gamma 120.00
_symmetry_space_group_name_H-M 'P 1'
_symmetry_Int_Tables_number 1
_symmetry_space_group_name_Hall 'P 1'
loop_
_atom_site_label
_atom_site_type_symbol
_atom_site_fract_x
_atom_site_fract_y
_atom_site_fract_z
_atom_site_occupancy
Ga1 Ga 0.333 0.667 0.306 1
Ga2 Ga 0.667 0.333 0.694 1
Pd1 Pd 0.667 0.333 0.314 1
Pd2 Pd 0.333 0.667 0.686 1
Ba1 Ba 0.000 0.000 0.000 1
Er1 Er 0.000 0.000 0.500 1
```

Output
ρ in g cm⁻³: 7.69
Uncorrected energy in eV/atom: -4.582

***

5.
A relaxed BaErGa2Pt2 crystal. Source: Alexandria, functional PBE.

```
data_BaErGa2Pt2
_cell_length_a 4.498
_cell_length_b 4.498
_cell_length_c 8.025
_cell_angle_alpha 90.00
_cell_angle_beta 90.00
_cell_angle_gamma 120.00
_symmetry_space_group_name_H-M 'P 1'
_symmetry_Int_Tables_number 1
_symmetry_space_group_name_Hall 'P 1'
loop_
_atom_site_label
_atom_site_type_symbol
_atom_site_fract_x
_atom_site_fract_y
_atom_site_fract_z
_atom_site_occupancy
Pt1 Pt 0.333 0.667 0.311 1
Pt2 Pt 0.667 0.333 0.689 1
Ga1 Ga 0.333 0.667 0.698 1
Ga2 Ga 0.667 0.333 0.302 1
Ba1 Ba 0.000 0.000 0.000 1
Er1 Er 0.000 0.000 0.500 1
```

Output
ρ in g cm⁻³: 9.85
Uncorrected energy in eV/atom: -5.060

***

6.
A relaxed BaErGaS4 crystal. Source: Alexandria, functional PBE.

```
data_BaErGaS4
_cell_length_a 6.529
_cell_length_b 6.740
_cell_length_c 8.442
_cell_angle_alpha 90.00
_cell_angle_beta 107.52
_cell_angle_gamma 90.00
_symmetry_space_group_name_H-M 'P 1'
_symmetry_Int_Tables_number 1
_symmetry_space_group_name_Hall 'P 1'
loop_
_atom_site_label
_atom_site_type_symbol
_atom_site_fract_x
_atom_site_fract_y
_atom_site_fract_z
_atom_site_occupancy
Er1 Er 0.220 0.250 0.552 1
Er2 Er 0.780 0.750 0.448 1
S1 S 0.007 0.506 0.714 1
S2 S 0.566 0.250 0.849 1
S3 S 0.541 0.250 0.412 1
S4 S 0.993 0.494 0.286 1
S5 S 0.007 0.994 0.714 1
S6 S 0.434 0.750 0.151 1
S7 S 0.459 0.750 0.588 1
S8 S 0.993 0.006 0.286 1
Ba1 Ba 0.252 0.250 0.061 1
Ba2 Ba 0.748 0.750 0.939 1
Ga1 Ga 0.235 0.750 0.329 1
Ga2 Ga 0.765 0.250 0.671 1
```

Output
ρ in g cm⁻³: 4.71
Uncorrected energy in eV/atom: -5.308

***

7.
A relaxed Ba2ErGaTe5 crystal. Source: Alexandria, functional PBE.

```
data_Ba2ErGaTe5
_cell_length_a 10.542
_cell_length_b 10.542
_cell_length_c 14.219
_cell_angle_alpha 90.00
_cell_angle_beta 90.00
_cell_angle_gamma 155.37
_symmetry_space_group_name_H-M 'P 1'
_symmetry_Int_Tables_number 1
_symmetry_space_group_name_Hall 'P 1'
loop_
_atom_site_label
_atom_site_type_symbol
_atom_site_fract_x
_atom_site_fract_y
_atom_site_fract_z
_atom_site_occupancy
Te1 Te 0.312 0.688 0.867 1
Te2 Te 0.688 0.312 0.367 1
Te3 Te 0.501 0.499 0.265 1
Te4 Te 0.705 0.295 0.663 1
Te5 Te 0.499 0.501 0.765 1
Te6 Te 0.951 0.049 0.035 1
Te7 Te 0.350 0.650 0.501 1
Te8 Te 0.049 0.951 0.535 1
Te9 Te 0.295 0.705 0.163 1
Te10 Te 0.650 0.350 0.001 1
Er1 Er 0.795 0.205 0.019 1
Er2 Er 0.205 0.795 0.519 1
Ba1 Ba 0.122 0.878 0.182 1
Ba2 Ba 0.126 0.874 0.817 1
Ba3 Ba 0.878 0.122 0.682 1
Ba4 Ba 0.874 0.126 0.317 1
Ga1 Ga 0.562 0.438 0.425 1
Ga2 Ga 0.438 0.562 0.925 1
```

Output
ρ in g cm⁻³: 5.80
Uncorrected energy in eV/atom: -4.308

***

8.
A relaxed BaErTlGa crystal. Source: Alexandria, functional PBE.

```
data_BaErTlGa
_cell_length_a 5.569
_cell_length_b 5.569
_cell_length_c 5.569
_cell_angle_alpha 60.00
_cell_angle_beta 60.00
_cell_angle_gamma 60.00
_symmetry_space_group_name_H-M 'P 1'
_symmetry_Int_Tables_number 1
_symmetry_space_group_name_Hall 'P 1'
loop_
_atom_site_label
_atom_site_type_symbol
_atom_site_fract_x
_atom_site_fract_y
_atom_site_fract_z
_atom_site_occupancy
Er1 Er 0.000 0.000 0.000 1
Ga1 Ga 0.250 0.250 0.250 1
Tl1 Tl 0.750 0.750 0.750 1
Ba1 Ba 0.500 0.500 0.500 1
```

Output
ρ in g cm⁻³: 7.87
Uncorrected energy in eV/atom: -3.205

***

9.
A relaxed BaGdEr crystal. Source: Alexandria, functional PBE.

```
data_BaGdEr
_cell_length_a 3.773
_cell_length_b 3.773
_cell_length_c 8.628
_cell_angle_alpha 102.63
_cell_angle_beta 102.63
_cell_angle_gamma 90.00
_symmetry_space_group_name_H-M 'P 1'
_symmetry_Int_Tables_number 1
_symmetry_space_group_name_Hall 'P 1'
loop_
_atom_site_label
_atom_site_type_symbol
_atom_site_fract_x
_atom_site_fract_y
_atom_site_fract_z
_atom_site_occupancy
Gd1 Gd 0.316 0.316 0.632 1
Er1 Er 0.682 0.682 0.363 1
Ba1 Ba 0.002 0.002 0.004 1
```

Output
ρ in g cm⁻³: 6.57
Uncorrected energy in eV/atom: -6.676

***

10.
A relaxed Ba3ErGe2O9 crystal. Source: Alexandria, functional PBE.

```
data_Ba3ErGe2O9
_cell_length_a 5.812
_cell_length_b 5.812
_cell_length_c 7.149
_cell_angle_alpha 90.00
_cell_angle_beta 90.00
_cell_angle_gamma 120.00
_symmetry_space_group_name_H-M 'P 1'
_symmetry_Int_Tables_number 1
_symmetry_space_group_name_Hall 'P 1'
loop_
_atom_site_label
_atom_site_type_symbol
_atom_site_fract_x
_atom_site_fract_y
_atom_site_fract_z
_atom_site_occupancy
O1 O 0.000 0.500 0.000 1
O2 O 0.645 0.823 0.316 1
O3 O 0.500 0.500 0.000 1
O4 O 0.177 0.823 0.316 1
O5 O 0.177 0.355 0.316 1
O6 O 0.355 0.177 0.684 1
O7 O 0.823 0.177 0.684 1
O8 O 0.823 0.645 0.684 1
O9 O 0.500 0.000 0.000 1
Er1 Er 0.000 0.000 0.500 1
Ba1 Ba 0.333 0.667 0.679 1
Ba2 Ba 0.667 0.333 0.321 1
Ba3 Ba 0.000 0.000 0.000 1
Ge1 Ge 0.333 0.667 0.172 1
Ge2 Ge 0.667 0.333 0.828 1
```

Output
ρ in g cm⁻³: 6.90
Uncorrected energy in eV/atom: -6.661